No. 1
DFT (PBE) results for a relaxed CoSn6Pd2 crystal.

abc: 6.856 6.673 8.521
angles: 90.00 88.30 90.00
Fractional coordinates of all 18 atoms:
Sn 0.662 0.168 0.927
Co 0.000 0.000 0.500
Sn 0.840 0.656 0.948
Sn 0.160 0.344 0.052
Pd 0.016 0.663 0.260
Sn 0.660 0.156 0.552
Pd 0.984 0.337 0.740
Sn 0.621 0.540 0.278
Sn 0.121 0.960 0.778
Pd 0.484 0.163 0.240
Sn 0.838 0.668 0.573
Sn 0.379 0.460 0.722
Sn 0.879 0.040 0.222
Pd 0.516 0.837 0.760
Co 0.500 0.500 0.000
Sn 0.162 0.332 0.427
Sn 0.338 0.832 0.073
Sn 0.340 0.844 0.448

Properties
* formation energy from the elements: -0.21 eV/atom
* space group: P2_1/c, No. 14
* crystal system: monoclinic

No. 2
DFT (PBE) results for a relaxed AlFeW2 crystal.

abc: 4.102 2.722 5.377
angles: 72.53 90.00 90.00
Fractional coordinates of all 4 atoms:
Fe 0.500 0.750 0.750
W 0.000 0.524 0.505
Al 0.500 0.250 0.250
W 0.000 0.976 0.995

Properties
* formation energy from the elements: 0.06 eV/atom
* space group: P2/m, No. 10
* crystal system: monoclinic

No. 3
DFT (PBE) results for a relaxed Pr5Nd2Sm4 crystal.

abc: 3.532 9.023 12.411
angles: 96.69 98.18 90.00
Fractional coordinates of all 11 atoms:
Nd 0.091 0.731 0.182
Pr 0.140 0.117 0.280
Pr 0.231 0.822 0.463
Pr 0.500 0.000 0.000
Pr 0.769 0.178 0.537
Pr 0.860 0.883 0.720
Sm 0.323 0.528 0.646
Sm 0.677 0.472 0.354
Nd 0.909 0.269 0.818
Sm 0.046 0.363 0.092
Sm 0.954 0.637 0.908

Properties
* ΔE to the lowest computed polymorph: 0.000 eV/atom
* formation energy from the elements: 0.13 eV/atom
* space group: C2/m, No. 12
* crystal system: monoclinic

No. 4
DFT (PBE) results for a relaxed Li2BSb crystal.

abc: 3.666 3.666 9.317
angles: 78.65 78.65 90.00
Fractional coordinates of all 8 atoms:
Sb 0.750 0.250 0.500
Li 0.375 0.837 0.750
B 0.250 0.750 0.500
Li 0.163 0.125 0.250
Li 0.587 0.625 0.250
Li 0.875 0.413 0.750
Sb 0.000 0.000 0.000
B 0.500 0.500 0.000

Properties
* ΔE to the lowest computed polymorph: 0.000 eV/atom
* space group: I-42d, No. 122
* crystal system: tetragonal
* energy relative to the elements, uncorrected: 0.385 eV/atom

No. 5
DFT (PBE) results for a relaxed CsH6N2O2 crystal.

abc: 4.673 5.939 4.461
angles: 89.18 89.99 66.82
Fractional coordinates of all 11 atoms:
O 0.170 0.659 0.316
H 0.551 0.507 0.266
H 0.941 0.507 0.266
N 0.798 0.405 0.282
H 0.449 0.493 0.734
H 0.059 0.493 0.734
Cs 0.500 0.000 0.500
H 0.131 0.738 0.869
O 0.830 0.341 0.684
H 0.869 0.262 0.131
N 0.202 0.595 0.718

Properties
* space group: C2/m, No. 12
* crystal system: monoclinic
* electronic total energy: -50.339 eV per cell

No. 6
DFT (PBE) results for a relaxed TaGaS3 crystal.

abc: 4.539 4.539 4.539
angles: 90.00 90.00 90.00
Fractional coordinates of all 5 atoms:
S 0.000 0.000 0.500
Ta 0.500 0.500 0.500
Ga 0.000 0.000 0.000
S 0.000 0.500 0.000
S 0.500 0.000 0.000

Properties
* space group: Pm-3m, No. 221
* crystal system: cubic
* energy relative to the elements, uncorrected: 0.651 eV/atom

No. 7
DFT (PBE) results for a relaxed LaHgMo2 crystal.

abc: 5.035 3.310 5.371
angles: 89.11 90.00 90.00
Fractional coordinates of all 4 atoms:
Mo 0.000 0.438 0.559
Mo 0.000 0.062 0.941
Hg 0.500 0.250 0.250
La 0.500 0.750 0.750

Properties
* formation energy from the elements: 0.57 eV/atom
* space group: P2/m, No. 10
* crystal system: monoclinic

No. 8
DFT (PBE) results for a relaxed NiAg2Br crystal.

abc: 6.918 6.918 6.918
angles: 154.35 147.33 41.99
Fractional coordinates of all 4 atoms:
Br 0.750 0.250 0.500
Ag 0.057 0.057 0.000
Ni 0.250 0.750 0.500
Ag 0.443 0.443 0.000

Properties
* ΔE to the lowest computed polymorph: 0.141 eV/atom
* space group: Immm, No. 71
* crystal system: orthorhombic
* energy relative to the elements, uncorrected: 0.303 eV/atom

Please write out number 8 again, unchanged.
DFT (PBE) results for a relaxed NiAg2Br crystal.

abc: 6.918 6.918 6.918
angles: 154.35 147.33 41.99
Fractional coordinates of all 4 atoms:
Br 0.750 0.250 0.500
Ag 0.057 0.057 0.000
Ni 0.250 0.750 0.500
Ag 0.443 0.443 0.000

Properties
* ΔE to the lowest computed polymorph: 0.141 eV/atom
* space group: Immm, No. 71
* crystal system: orthorhombic
* energy relative to the elements, uncorrected: 0.303 eV/atom